## NaAlO2 (PBE)

Data for crystalline NaAlO2 at its relaxed geometry.

## Properties
Space group = I-42d
Crystal system = tetragonal
Formation energy without anion corrections = -2.5746 eV per atom
Total energy = -50.55 eV for the cell shown
V = 12.58 A^3/atom

a b c (Å): 5.0688 5.0688 5.3100
angles (deg): 61.49 61.49 90.00
Positions (direct):
Na: 0.5000 0.5000 0.0000
Na: 0.2500 0.7500 0.5000
Al: 0.0000 0.0000 0.0000
Al: 0.7500 0.2500 0.5000
O: 0.7217 0.1250 0.2500
O: 0.0283 0.6250 0.2500
O: 0.3750 0.2783 0.7500
O: 0.8750 0.9717 0.7500

***

## NaAl11O17 (PBE)

Data for crystalline NaAl11O17 at its relaxed geometry.

## Properties
Space group = P6_3/mmc
Crystal system = hexagonal
Excess energy over the best structure of this formula in the dataset = 5 meV per atom
Formation energy without anion corrections = -2.9448 eV per atom
Total energy = -424.35 eV for the cell shown
V = 10.86 A^3/atom

a b c (Å): 5.6541 5.6541 22.7528
angles (deg): 90.00 90.00 120.00
Positions (direct):
Na: 0.0000 0.0000 0.2500
Na: 0.0000 0.0000 0.7500
Al: 0.1683 0.8317 0.6066
Al: 0.1683 0.8317 0.8934
Al: 0.3333 0.6667 0.3251
Al: 0.3333 0.6667 0.4740
Al: 0.0000 0.0000 0.5000
Al: 0.0000 0.0000 0.0000
Al: 0.3333 0.6667 0.1749
Al: 0.3333 0.6667 0.0260
Al: 0.6634 0.8317 0.8934
Al: 0.6634 0.8317 0.6066
Al: 0.8317 0.6634 0.3934
Al: 0.8317 0.6634 0.1066
Al: 0.1683 0.3366 0.8934
Al: 0.1683 0.3366 0.6066
Al: 0.3366 0.1683 0.3934
Al: 0.3366 0.1683 0.1066
Al: 0.6667 0.3333 0.8251
Al: 0.6667 0.3333 0.6749
Al: 0.6667 0.3333 0.9740
Al: 0.6667 0.3333 0.5260
Al: 0.8317 0.1683 0.3934
Al: 0.8317 0.1683 0.1066
O: 0.4986 0.9971 0.6444
O: 0.5014 0.0029 0.1444
O: 0.5014 0.0029 0.3556
O: 0.1559 0.8441 0.4499
O: 0.4986 0.9971 0.8556
O: 0.1559 0.8441 0.0501
O: 0.3333 0.6667 0.2500
O: 0.6881 0.8441 0.0501
O: 0.0000 0.0000 0.6437
O: 0.0000 0.0000 0.3563
O: 0.0000 0.0000 0.1437
O: 0.0000 0.0000 0.8563
O: 0.3333 0.6667 0.5544
O: 0.3333 0.6667 0.9456
O: 0.6881 0.8441 0.4499
O: 0.8441 0.6881 0.9499
O: 0.8441 0.6881 0.5501
O: 0.4986 0.5014 0.6444
O: 0.5014 0.4986 0.1444
O: 0.5014 0.4986 0.3556
O: 0.4986 0.5014 0.8556
O: 0.1559 0.3119 0.4499
O: 0.1559 0.3119 0.0501
O: 0.6667 0.3333 0.0544
O: 0.0029 0.5014 0.8556
O: 0.9971 0.4986 0.1444
O: 0.9971 0.4986 0.3556
O: 0.0029 0.5014 0.6444
O: 0.6667 0.3333 0.7500
O: 0.6667 0.3333 0.4456
O: 0.3119 0.1559 0.9499
O: 0.3119 0.1559 0.5501
O: 0.8441 0.1559 0.5501
O: 0.8441 0.1559 0.9499

***

## NaAl3O (PBE)

Data for crystalline NaAl3O at its relaxed geometry.

## Properties
Space group = Pm-3m
Crystal system = cubic
Excess energy over the best structure of this formula in the dataset = 1547 meV per atom
Formation energy without anion corrections = 1.3984 eV per atom
Total energy = -10.51 eV for the cell shown
V = 27.03 A^3/atom

a b c (Å): 5.1317 5.1317 5.1317
angles (deg): 90.00 90.00 90.00
Positions (direct):
Na: 0.0000 0.0000 0.0000
Al: 0.0000 0.5000 0.0000
Al: 0.0000 0.0000 0.5000
Al: 0.5000 0.0000 0.0000
O: 0.5000 0.5000 0.5000

***

## NaAlO3 (PBE)

Data for crystalline NaAlO3 at its relaxed geometry.

## Properties
Space group = Pm-3m
Crystal system = cubic
Formation energy without anion corrections = -1.7110 eV per atom
Total energy = -28.49 eV for the cell shown
V = 10.60 A^3/atom

a b c (Å): 3.7560 3.7560 3.7560
angles (deg): 90.00 90.00 90.00
Each line ends with the local moment (μB).
Positions (direct):
Na: 0.5000 0.5000 0.5000  -0.01
Al: 0.0000 0.0000 0.0000  -0.02
O: 0.0000 0.5000 0.0000  0.57
O: 0.0000 0.0000 0.5000  0.57
O: 0.5000 0.0000 0.0000  0.57

***

## NaAl3O (PBE)

Data for crystalline NaAl3O at its relaxed geometry.

## Properties
Space group = Pm-3m
Crystal system = cubic
Excess energy over the best structure of this formula in the dataset = 0 meV per atom
Formation energy without anion corrections = -0.1489 eV per atom
Total energy = -18.25 eV for the cell shown
V = 17.48 A^3/atom

a b c (Å): 4.4380 4.4380 4.4380
angles (deg): 90.00 90.00 90.00
Positions (direct):
Na: 0.5000 0.5000 0.5000
Al: 0.0000 0.5000 0.0000
Al: 0.0000 0.0000 0.5000
Al: 0.5000 0.0000 0.0000
O: 0.0000 0.0000 0.0000

***

## NaAlO2 (PBE)

Data for crystalline NaAlO2 at its relaxed geometry.

## Properties
Space group = R3m
Crystal system = trigonal
Formation energy without anion corrections = -2.4848 eV per atom
Total energy = -24.92 eV for the cell shown
V = 9.86 A^3/atom

a b c (Å): 2.8854 2.8854 5.7192
angles (deg): 75.39 75.39 60.00
Positions (direct):
Na: 0.4978 0.4978 0.5066
Al: 0.6673 0.6673 0.9980
O: 0.0629 0.0629 0.8114
O: 0.2720 0.2720 0.1840

***

## NaAlO2 (PBE)

Data for crystalline NaAlO2 at its relaxed geometry.

## Properties
Space group = R-3m
Crystal system = trigonal
Formation energy without anion corrections = -1.5209 eV per atom
Total energy = -21.06 eV for the cell shown
V = 14.96 A^3/atom

a b c (Å): 6.2559 6.2559 6.2559
angles (deg): 31.64 31.64 31.64
Positions (direct):
Na: 0.5000 0.5000 0.5000
Al: 0.0000 0.0000 0.0000
O: 0.9080 0.9080 0.9080
O: 0.0920 0.0920 0.0920

***

## NaAl2O4 (PBE)

Data for crystalline NaAl2O4 at its relaxed geometry.

## Properties
Space group = Cccm
Crystal system = orthorhombic
Formation energy without anion corrections = -2.1647 eV per atom
Total energy = -87.58 eV for the cell shown
V = 13.15 A^3/atom

a b c (Å): 5.1624 5.4415 7.4473
angles (deg): 90.00 90.00 118.32
Each line ends with the local moment (μB).
Positions (direct):
Na: 0.5000 0.0000 0.7500  0.00
Na: 0.5000 0.0000 0.2500  0.00
Al: 0.7539 0.5291 0.0000  -0.01
Al: 0.2461 0.4709 0.0000  -0.01
Al: 0.7751 0.5291 0.5000  -0.01
Al: 0.2249 0.4709 0.5000  -0.01
O: 0.3887 0.2304 0.0000  0.15
O: 0.6113 0.7696 0.0000  0.15
O: 0.8416 0.2304 0.5000  0.15
O: 0.1584 0.7696 0.5000  0.15
O: 0.5000 0.5000 0.6600  0.29
O: 0.0000 0.5000 0.8400  0.29
O: 0.5000 0.5000 0.3400  0.29
O: 0.0000 0.5000 0.1600  0.29

***

Please write out number 6 again, unchanged.
## NaAlO2 (PBE)

Data for crystalline NaAlO2 at its relaxed geometry.

## Properties
Space group = R3m
Crystal system = trigonal
Formation energy without anion corrections = -2.4848 eV per atom
Total energy = -24.92 eV for the cell shown
V = 9.86 A^3/atom

a b c (Å): 2.8854 2.8854 5.7192
angles (deg): 75.39 75.39 60.00
Positions (direct):
Na: 0.4978 0.4978 0.5066
Al: 0.6673 0.6673 0.9980
O: 0.0629 0.0629 0.8114
O: 0.2720 0.2720 0.1840